CuPPb | PBEsol | optimized geometry

```
CuPPb
1.0
3.902 0.000 0.000
-1.951 3.379 0.000
0.000 0.000 9.344
Cu P Pb
2 2 2
Direct
0.333 0.667 0.000 Cu
0.667 0.333 0.500 Cu
0.000 0.000 0.467 P
0.000 0.000 0.967 P
0.333 0.667 0.694 Pb
0.667 0.333 0.194 Pb
```

Values from the calculation:
energy above the most stable polymorph in this dataset: 90.3 meV per atom
total energy: -4.6488 eV per atom
E_form: 0.06 eV/atom
size of the total moment: 0.00 μB per formula unit